1.
VASP calculation (SCAN) on a PBEsol-optimized structure of Pd3WCl.

Cell lengths 4.7702, 4.7702, 4.7702 Å; angles 90.00, 90.00, 90.00 degrees
Element x y z (fractional)
Pd1 0.0000 0.5000 0.0000
Pd2 0.0000 0.0000 0.5000
Pd3 0.5000 0.0000 0.0000
W1 0.0000 0.0000 0.0000
Cl1 0.5000 0.5000 0.5000

Properties
ΔE_f (raw) in eV/atom: 1.151
Crystal system: cubic
Final energy in eV per atom: -34.047
V in Å³/atom: 21.71


2.
VASP calculation (SCAN) on a PBEsol-optimized structure of Ba3In.

Cell lengths 4.2521, 4.2521, 10.5324 Å; angles 90.00, 90.00, 90.00 degrees
Element x y z (fractional)
Ba1 0.0000 0.0000 0.8171
Ba2 0.5000 0.5000 0.5000
Ba3 0.0000 0.0000 0.1829
In1 0.5000 0.5000 0.0000

Properties
Crystal system: tetragonal
Final energy in eV per atom: -38.291
V in Å³/atom: 47.61
ΔH_f (0 K) in meV/atom: -282.1


3.
VASP calculation (SCAN) on a PBEsol-optimized structure of ZrMnFe2.

Cell lengths 3.6829, 3.6829, 4.8382 Å; angles 112.37, 112.37, 90.00 degrees
Element x y z (fractional)
Fe1 0.7500 0.2500 0.5000
Fe2 0.2500 0.7500 0.5000
Mn1 0.5000 0.5000 0.0000
Zr1 0.0000 0.0000 0.0000

Properties
Crystal system: tetragonal
Final energy in eV per atom: -21.276
V in Å³/atom: 13.83
ΔH_f (0 K) in meV/atom: 27.0


4.
VASP calculation (SCAN) on a PBEsol-optimized structure of ZrCd2Re.

Cell lengths 3.4199, 3.4199, 6.4760 Å; angles 90.00, 90.00, 90.00 degrees
Element x y z (fractional)
Cd1 0.0000 0.0000 0.0092
Cd2 0.5000 0.5000 0.2563
Re1 0.0000 0.0000 0.5214
Zr1 0.5000 0.5000 0.7131

Properties
Crystal system: tetragonal
Final energy in eV per atom: -40.543
V in Å³/atom: 18.94
ΔH_f (0 K) in meV/atom: 112.9


5.
VASP calculation (SCAN) on a PBEsol-optimized structure of Mn2CoIr.

Cell lengths 3.5922, 3.5922, 4.4071 Å; angles 114.05, 114.05, 90.00 degrees
Element x y z (fractional)
Co1 0.5000 0.5000 0.0000
Ir1 0.2500 0.7500 0.5000
Mn1 0.0000 0.0000 0.0000
Mn2 0.7500 0.2500 0.5000

Properties
Crystal system: tetragonal
Final energy in eV per atom: -31.584
V in Å³/atom: 11.62
ΔH_f (0 K) in meV/atom: -355.2


6.
VASP calculation (SCAN) on a PBEsol-optimized structure of CaCoAu2.

Cell lengths 3.2557, 3.2557, 6.7234 Å; angles 90.00, 90.00, 90.00 degrees
Element x y z (fractional)
Co1 0.5000 0.5000 0.5000
Ca1 0.5000 0.5000 0.0000
Au1 0.0000 0.0000 0.7047
Au2 0.0000 0.0000 0.2953

Properties
Crystal system: tetragonal
Final energy in eV per atom: -41.609
V in Å³/atom: 17.82
ΔH_f (0 K) in meV/atom: -288.8


7.
VASP calculation (SCAN) on a PBEsol-optimized structure of MnFe2Cu.

Cell lengths 2.4549, 4.3592, 4.3592 Å; angles 111.09, 90.00, 90.00 degrees
Element x y z (fractional)
Cu1 0.5000 0.5000 0.5000
Fe1 0.0000 0.5000 0.0000
Fe2 0.0000 0.0000 0.5000
Mn1 0.5000 0.0000 0.0000

Properties
Crystal system: orthorhombic
Final energy in eV per atom: -17.323
V in Å³/atom: 10.88
ΔH_f (0 K) in meV/atom: 105.1


8.
VASP calculation (SCAN) on a PBEsol-optimized structure of TlP2Rh.

Cell lengths 4.1273, 4.1273, 4.8456 Å; angles 115.21, 115.21, 90.00 degrees
Element x y z (fractional)
P1 0.0000 0.0000 0.0000
P2 0.7500 0.2500 0.5000
Rh1 0.5000 0.5000 0.0000
Tl1 0.2500 0.7500 0.5000

Properties
Crystal system: tetragonal
Final energy in eV per atom: -31.065
V in Å³/atom: 16.47
ΔH_f (0 K) in meV/atom: 667.2


9.
VASP calculation (SCAN) on a PBEsol-optimized structure of LiReAs2.

Cell lengths 3.1218, 4.3793, 4.3793 Å; angles 99.21, 94.51, 94.51 degrees
Element x y z (fractional)
As1 0.0000 0.0000 0.5000
As2 0.0000 0.5000 0.0000
Li1 0.5000 0.5000 0.5000
Re1 0.5000 0.0000 0.0000

Properties
Crystal system: monoclinic
Final energy in eV per atom: -28.284
V in Å³/atom: 14.66
ΔH_f (0 K) in meV/atom: 183.5


10.
VASP calculation (SCAN) on a PBEsol-optimized structure of CrRuAu2.

Cell lengths 2.8439, 3.5794, 5.8835 Å; angles 90.00, 90.00, 90.00 degrees
Element x y z (fractional)
Au1 0.0000 0.0000 0.9883
Au2 0.5000 0.5000 0.2625
Cr1 0.0000 0.0000 0.5314
Ru1 0.5000 0.5000 0.7178

Properties
Crystal system: orthorhombic
Final energy in eV per atom: -47.801
V in Å³/atom: 14.97
ΔH_f (0 K) in meV/atom: 80.2


11.
VASP calculation (SCAN) on a PBEsol-optimized structure of CaHg2Sb.

Cell lengths 4.4229, 4.4229, 4.9679 Å; angles 90.00, 90.00, 90.00 degrees
Element x y z (fractional)
Sb1 0.5000 0.5000 0.5000
Ca1 0.0000 0.0000 0.5000
Hg1 0.0000 0.5000 0.0000
Hg2 0.5000 0.0000 0.0000

Properties
ΔE_f (raw) in eV/atom: -0.460
Crystal system: tetragonal
Final energy in eV per atom: -46.274
V in Å³/atom: 24.29


12.
VASP calculation (SCAN) on a PBEsol-optimized structure of CsTiCrNi2.

Cell lengths 4.3306, 4.6390, 4.6390 Å; angles 90.00, 90.00, 90.00 degrees
Element x y z (fractional)
Cs1 0.5000 0.5000 0.5000
Ni1 0.0000 0.0000 0.5000
Ni2 0.0000 0.5000 0.0000
Ti1 0.5000 0.0000 0.0000
Cr1 0.0000 0.0000 0.0000

Properties
Crystal system: tetragonal
Final energy in eV per atom: -19.726
V in Å³/atom: 18.64
ΔH_f (0 K) in meV/atom: 1188.7


13.
VASP calculation (SCAN) on a PBEsol-optimized structure of La2Mn3FeSi4.

Cell lengths 3.9560, 3.9560, 10.3950 Å; angles 90.00, 90.00, 90.00 degrees
Element x y z (fractional)
La1 0.5000 0.0000 0.7526
La2 0.0000 0.5000 0.2474
Mn1 0.0000 0.0000 0.5000
Mn2 0.0000 0.0000 0.0000
Mn3 0.5000 0.5000 0.5000
Fe1 0.5000 0.5000 0.0000
Si1 0.0000 0.5000 0.8829
Si2 0.5000 0.0000 0.3775
Si3 0.5000 0.0000 0.1171
Si4 0.0000 0.5000 0.6225

Properties
ΔE_f (raw) in eV/atom: -0.593
Crystal system: tetragonal
Final energy in eV per atom: -20.510
V in Å³/atom: 16.27


14.
VASP calculation (SCAN) on a PBEsol-optimized structure of CsTaCoO2F4.

Cell lengths 7.4329, 7.2827, 7.4312 Å; angles 118.88, 119.55, 90.81 degrees
Element x y z (fractional)
Cs1 0.1434 0.1434 0.2868
Cs2 0.4046 0.9046 0.8092
F1 0.8245 0.8245 0.6490
F2 0.6923 0.1923 0.3847
F3 0.4054 0.4039 0.2215
F4 0.8161 0.8176 0.2215
F5 0.6630 0.1725 0.7509
F6 0.0879 0.5784 0.7509
F7 0.0711 0.1784 0.7323
F8 0.6612 0.5539 0.7323
Co1 0.7431 0.9927 0.4955
Co2 0.7524 0.5028 0.4955
O1 0.0334 0.5334 0.0669
O2 0.4360 0.4360 0.8720
O3 0.8154 0.4503 0.2553
O4 0.4399 0.8050 0.2553
Ta1 0.7479 0.4910 0.0096
Ta2 0.2617 0.5186 0.0096

Properties
ΔE_f (raw) in eV/atom: -2.855
Crystal system: monoclinic
Final energy in eV per atom: -19.335
V in Å³/atom: 16.06


15.
VASP calculation (SCAN) on a PBEsol-optimized structure of HfSb2SCl.

Cell lengths 4.5809, 5.0833, 5.0833 Å; angles 90.00, 90.00, 90.00 degrees
Element x y z (fractional)
Sb1 0.0000 0.0000 0.5000
Sb2 0.0000 0.5000 0.0000
S1 0.5000 0.0000 0.0000
Hf1 0.5000 0.5000 0.5000
Cl1 0.0000 0.0000 0.0000

Properties
ΔE_f (raw) in eV/atom: 0.857
Crystal system: tetragonal
Final energy in eV per atom: -30.103
V in Å³/atom: 23.67


16.
VASP calculation (SCAN) on a PBEsol-optimized structure of V2ZnO4.

Cell lengths 5.9250, 5.9575, 5.8054 Å; angles 119.16, 90.00, 119.82 degrees
Element x y z (fractional)
V1 0.8715 0.7431 0.6215
V2 0.1285 0.2569 0.3785
V3 0.5000 0.0000 0.5000
V4 0.5000 0.0000 0.0000
Zn1 0.5000 0.5000 0.0000
Zn2 0.0000 0.5000 0.0000
O1 0.2641 0.5282 0.2614
O2 0.7429 0.0051 0.2526
O3 0.2641 0.5282 0.7667
O4 0.2623 0.0051 0.2526
O5 0.7377 0.9949 0.7474
O6 0.2571 0.9949 0.7474
O7 0.7359 0.4718 0.2333
O8 0.7359 0.4718 0.7386

Properties
ΔE_f (raw) in eV/atom: -2.274
Crystal system: orthorhombic
Final energy in eV per atom: -12.762
V in Å³/atom: 10.51


17.
VASP calculation (SCAN) on a PBEsol-optimized structure of Be2CuTc.

Cell lengths 3.9282, 3.9282, 3.9282 Å; angles 60.00, 60.00, 60.00 degrees
Element x y z (fractional)
Be1 0.0000 0.0000 0.0000
Be2 0.7500 0.7500 0.7500
Tc1 0.2500 0.2500 0.2500
Cu1 0.5000 0.5000 0.5000

Properties
Crystal system: cubic
Final energy in eV per atom: -14.573
V in Å³/atom: 10.72
ΔH_f (0 K) in meV/atom: 168.2


18.
VASP calculation (SCAN) on a PBEsol-optimized structure of SrCdCo.

Cell lengths 4.8223, 4.8223, 4.8223 Å; angles 60.00, 60.00, 60.00 degrees
Element x y z (fractional)
Cd1 0.7500 0.7500 0.7500
Co1 0.0000 0.0000 0.0000
Sr1 0.5000 0.5000 0.5000

Properties
Crystal system: cubic
Final energy in eV per atom: -22.743
V in Å³/atom: 26.43
ΔH_f (0 K) in meV/atom: 588.6


19.
VASP calculation (SCAN) on a PBEsol-optimized structure of Sr2LaMo.

Cell lengths 3.5135, 3.5135, 11.9612 Å; angles 81.55, 81.55, 60.00 degrees
Element x y z (fractional)
La1 0.5000 0.5000 0.5000
Mo1 0.0000 0.0000 0.0000
Sr1 0.2655 0.2655 0.2036
Sr2 0.7345 0.7345 0.7964

Properties
Crystal system: trigonal
Final energy in eV per atom: -29.706
V in Å³/atom: 31.51
ΔH_f (0 K) in meV/atom: 929.2


20.
VASP calculation (SCAN) on a PBEsol-optimized structure of MgTlAsSe2.

Cell lengths 5.1523, 5.3225, 5.3225 Å; angles 90.00, 90.00, 90.00 degrees
Element x y z (fractional)
Mg1 0.5000 0.5000 0.5000
Tl1 0.0000 0.0000 0.0000
As1 0.5000 0.0000 0.0000
Se1 0.0000 0.0000 0.5000
Se2 0.0000 0.5000 0.0000

Properties
ΔE_f (raw) in eV/atom: 0.603
Crystal system: tetragonal
Final energy in eV per atom: -26.932
V in Å³/atom: 29.19


21.
VASP calculation (SCAN) on a PBEsol-optimized structure of Be2AgW.

Cell lengths 2.6422, 3.7999, 5.3837 Å; angles 96.57, 90.00, 110.34 degrees
Element x y z (fractional)
Be1 0.7517 0.5034 0.7596
Be2 0.2483 0.4966 0.2404
Ag1 0.5000 0.0000 0.0000
W1 0.0000 0.0000 0.5000

Properties
Crystal system: monoclinic
Final energy in eV per atom: -26.983
V in Å³/atom: 12.58
ΔH_f (0 K) in meV/atom: 457.8


22.
VASP calculation (SCAN) on a PBEsol-optimized structure of Ni3AsC.

Cell lengths 3.7829, 3.7829, 3.7829 Å; angles 90.00, 90.00, 90.00 degrees
Element x y z (fractional)
Ni1 0.0000 0.5000 0.0000
Ni2 0.0000 0.0000 0.5000
Ni3 0.5000 0.0000 0.0000
As1 0.5000 0.5000 0.5000
C1 0.0000 0.0000 0.0000

Properties
Crystal system: cubic
Final energy in eV per atom: -15.635
V in Å³/atom: 10.83
ΔH_f (0 K) in meV/atom: 126.8


23.
VASP calculation (SCAN) on a PBEsol-optimized structure of TaRe2Tc.

Cell lengths 2.7347, 4.3504, 5.1962 Å; angles 90.00, 101.21, 90.00 degrees
Element x y z (fractional)
Re1 0.9922 0.0000 0.0042
Re2 0.7183 0.5000 0.2451
Ta1 0.5002 0.0000 0.5038
Tc1 0.2893 0.5000 0.7469

Properties
Crystal system: monoclinic
Final energy in eV per atom: -61.044
V in Å³/atom: 15.16
ΔH_f (0 K) in meV/atom: -84.2


24.
VASP calculation (SCAN) on a PBEsol-optimized structure of BaCaAl.

Cell lengths 3.9169, 3.9169, 7.4494 Å; angles 105.24, 105.24, 90.00 degrees
Element x y z (fractional)
Ca1 0.6267 0.6267 0.2534
Ba1 0.3596 0.3596 0.7192
Al1 0.0137 0.0137 0.0274

Properties
Crystal system: tetragonal
Final energy in eV per atom: -19.067
V in Å³/atom: 35.37
ΔH_f (0 K) in meV/atom: -78.1


25.
VASP calculation (SCAN) on a PBEsol-optimized structure of CaCr2Mo.

Cell lengths 3.2202, 3.2190, 6.7812 Å; angles 90.00, 90.00, 90.00 degrees
Element x y z (fractional)
Cr1 0.0000 0.0000 0.0962
Cr2 0.5000 0.5000 0.2359
Mo1 0.0000 0.0000 0.4095
Ca1 0.5000 0.5000 0.7584

Properties
Crystal system: tetragonal
Final energy in eV per atom: -19.681
V in Å³/atom: 17.57
ΔH_f (0 K) in meV/atom: 648.1


26.
VASP calculation (SCAN) on a PBEsol-optimized structure of Rb3AgRh.

Cell lengths 5.8948, 5.8948, 5.8948 Å; angles 90.00, 90.00, 90.00 degrees
Element x y z (fractional)
Rh1 0.0000 0.0000 0.0000
Rb1 0.0000 0.5000 0.0000
Rb2 0.0000 0.0000 0.5000
Rb3 0.5000 0.0000 0.0000
Ag1 0.5000 0.5000 0.5000

Properties
Crystal system: cubic
Final energy in eV per atom: -24.840
V in Å³/atom: 40.97
ΔH_f (0 K) in meV/atom: 631.2


27.
VASP calculation (SCAN) on a PBEsol-optimized structure of BeAs2PBr.

Cell lengths 4.3220, 4.5879, 4.5879 Å; angles 90.00, 90.00, 90.00 degrees
Element x y z (fractional)
P1 0.5000 0.5000 0.5000
As1 0.0000 0.0000 0.5000
As2 0.0000 0.5000 0.0000
Br1 0.5000 0.0000 0.0000
Be1 0.0000 0.0000 0.0000

Properties
ΔE_f (raw) in eV/atom: 0.776
Crystal system: tetragonal
Final energy in eV per atom: -14.143
V in Å³/atom: 18.19


28.
VASP calculation (SCAN) on a PBEsol-optimized structure of CuPt.

Cell lengths 2.7355, 2.7355, 7.0479 Å; angles 90.00, 90.00, 90.00 degrees
Element x y z (fractional)
Cu1 0.5000 0.0000 0.1094
Cu2 0.0000 0.5000 0.8906
Pt1 0.5000 0.0000 0.6430
Pt2 0.0000 0.5000 0.3570

Properties
Crystal system: tetragonal
Final energy in eV per atom: -42.795
V in Å³/atom: 13.18
ΔH_f (0 K) in meV/atom: -98.6